1.
First-principles (PBE) data for crystalline Sn2Os2W at its relaxed geometry, as listed in Alexandria.

a = 7.6743 Å, b = 7.6743 Å, c = 2.9815 Å
α = 90.00°, β = 90.00°, γ = 90.00°
With the nearest neighbours (Å) after each atom.
Sites, in units of the cell vectors:
Sn: 0.1401 0.3599 0.0000  6 Os 2.63-2.75
Sn: 0.3599 0.8599 0.0000  6 Os 2.63-2.75
Sn: 0.6401 0.1401 0.0000  6 Os 2.63-2.75
Sn: 0.8599 0.6401 0.0000  6 Os 2.63-2.75
Os: 0.1608 0.6608 0.5000  6 Sn 2.63-2.75
Os: 0.3392 0.1608 0.5000  6 Sn 2.63-2.75
Os: 0.6608 0.8392 0.5000  6 Sn 2.63-2.75
Os: 0.8392 0.3392 0.5000  6 Sn 2.63-2.75
W: 0.0000 0.0000 0.0000  4 Sn 2.96, 2 W 2.98, 8 Os 3.24
W: 0.5000 0.5000 0.0000  4 Sn 2.96, 2 W 2.98, 8 Os 3.24

Results
SG: No. 127
E_form: 0.80 eV/atom

2.
First-principles (PBE) data for crystalline SnOs2W at its relaxed geometry, as listed in Alexandria.

a = 6.8769 Å, b = 6.8769 Å, c = 6.8769 Å
α = 128.02°, β = 128.02°, γ = 76.60°
With the nearest neighbours (Å) after each atom.
Sites, in units of the cell vectors:
Sn: 0.0000 0.0000 0.0000  4 Os 2.61
Sn: 0.7500 0.2500 0.5000  4 Os 2.61
Os: 0.1498 0.6250 0.0248  2 W 2.44, 2 Sn 2.61
Os: 0.3750 0.3998 0.5248  2 W 2.44, 2 Sn 2.61
Os: 0.6002 0.1250 0.9752  2 W 2.44, 2 Sn 2.61
Os: 0.8750 0.8502 0.4752  2 W 2.44, 2 Sn 2.61
W: 0.2500 0.7500 0.5000  4 Os 2.44
W: 0.5000 0.5000 0.0000  4 Os 2.44

Results
SG: No. 122
E_form: 1.27 eV/atom

3.
First-principles (PBE) data for crystalline SnOsW2 at its relaxed geometry, as listed in Alexandria.

a = 10.1126 Å, b = 10.1126 Å, c = 10.1126 Å
α = 158.01°, β = 158.01°, γ = 31.29°
With the nearest neighbours (Å) after each atom.
Sites, in units of the cell vectors:
Sn: 0.0000 0.0000 0.0000  4 Os 2.73, 4 W 2.78
Sn: 0.7500 0.2500 0.5000  4 Os 2.73, 4 W 2.78
Os: 0.2500 0.7500 0.5000  4 Sn 2.73, 4 W 2.80
Os: 0.5000 0.5000 0.0000  4 Sn 2.73, 4 W 2.80
W: 0.1188 0.6250 0.9938  4 W 2.69-2.76, 2 Sn 2.78, 2 Os 2.80
W: 0.3750 0.3688 0.4938  4 W 2.69-2.76, 2 Sn 2.78, 2 Os 2.80
W: 0.6312 0.1250 0.0062  4 W 2.69-2.76, 2 Sn 2.78, 2 Os 2.80
W: 0.8750 0.8812 0.5062  4 W 2.69-2.76, 2 Sn 2.78, 2 Os 2.80

Results
SG: No. 122
E_form: 0.96 eV/atom

4.
First-principles (PBE) data for crystalline Sn2Os2W at its relaxed geometry, as listed in Alexandria.

a = 8.4232 Å, b = 8.4232 Å, c = 8.4232 Å
α = 155.98°, β = 155.98°, γ = 34.23°
With the nearest neighbours (Å) after each atom.
Sites, in units of the cell vectors:
Sn: 0.1000 0.1000 0.0000  4 W 2.96, 4 Os 2.98, 1 Sn 3.22
Sn: 0.9000 0.9000 0.0000  4 W 2.96, 4 Os 2.98, 1 Sn 3.22
Os: 0.2500 0.7500 0.5000  4 Os 2.48
Os: 0.7500 0.2500 0.5000  4 Os 2.48
W: 0.5000 0.5000 0.0000  8 Sn 2.96

Results
SG: No. 139
E_form: 1.12 eV/atom

5.
First-principles (PBE) data for crystalline Y2Sn2Os at its relaxed geometry, as listed in Alexandria.

a = 7.6967 Å, b = 7.6967 Å, c = 7.6967 Å
α = 148.64°, β = 148.64°, γ = 44.94°
With the nearest neighbours (Å) after each atom.
Sites, in units of the cell vectors:
Y: 0.2500 0.7500 0.5000  4 Y 2.94, 4 Sn 3.07
Y: 0.7500 0.2500 0.5000  4 Y 2.94, 4 Sn 3.07
Sn: 0.0909 0.0909 0.0000  1 Sn 2.58
Sn: 0.9091 0.9091 0.0000  1 Sn 2.58
Os: 0.5000 0.5000 0.0000  8 Sn 3.21

Results
SG: No. 139
E_form: 0.79 eV/atom

6.
First-principles (PBE) data for crystalline Y4SnOs at its relaxed geometry, as listed in Alexandria.

a = 8.1029 Å, b = 8.1029 Å, c = 6.1492 Å
α = 103.33°, β = 103.33°, γ = 112.90°
With the nearest neighbours (Å) after each atom.
Sites, in units of the cell vectors:
Y: 0.0572 0.7195 0.9321  2 Os 2.89-2.90, 1 Sn 3.22
Y: 0.2118 0.3500 0.6650  2 Os 2.89-2.93, 1 Sn 3.24
Y: 0.2805 0.9428 0.5679  2 Os 2.89-2.90, 1 Sn 3.22
Y: 0.3500 0.2118 0.1650  2 Os 2.89-2.93, 1 Sn 3.24
Y: 0.6500 0.7882 0.8350  2 Os 2.89-2.93, 1 Sn 3.24
Y: 0.7195 0.0572 0.4321  2 Os 2.89-2.90, 1 Sn 3.22
Y: 0.7882 0.6500 0.3350  2 Os 2.89-2.93, 1 Sn 3.24
Y: 0.9428 0.2805 0.0679  2 Os 2.89-2.90, 1 Sn 3.22
Sn: 0.3702 0.6298 0.2500  8 Y 3.22-3.40
Sn: 0.6298 0.3702 0.7500  8 Y 3.22-3.40
Os: 0.0003 0.9997 0.2500  8 Y 2.89-2.93, 2 Os 3.07
Os: 0.9997 0.0003 0.7500  8 Y 2.89-2.93, 2 Os 3.07

Results
SG: No. 15
E_form: -0.45 eV/atom

7.
First-principles (PBE) data for crystalline Y2Sn2Os at its relaxed geometry, as listed in Alexandria.

a = 7.1606 Å, b = 7.1606 Å, c = 4.6054 Å
α = 90.00°, β = 90.00°, γ = 90.00°
With the nearest neighbours (Å) after each atom.
Sites, in units of the cell vectors:
Y: 0.1718 0.3282 0.0000  6 Sn 2.98-3.22
Y: 0.3282 0.8282 0.0000  6 Sn 2.98-3.22
Y: 0.6718 0.1718 0.0000  6 Sn 2.98-3.22
Y: 0.8282 0.6718 0.0000  6 Sn 2.98-3.22
Sn: 0.1414 0.6414 0.5000  2 Os 2.76, 1 Sn 2.86, 2 Y 2.98
Sn: 0.3586 0.1414 0.5000  2 Os 2.76, 1 Sn 2.86, 2 Y 2.98
Sn: 0.6414 0.8586 0.5000  2 Os 2.76, 1 Sn 2.86, 2 Y 2.98
Sn: 0.8586 0.3586 0.5000  2 Os 2.76, 1 Sn 2.86, 2 Y 2.98
Os: 0.0000 0.0000 0.5000  4 Sn 2.76
Os: 0.5000 0.5000 0.5000  4 Sn 2.76

Results
SG: No. 127
E_form: -0.39 eV/atom

8.
First-principles (PBE) data for crystalline YSnOs2 at its relaxed geometry, as listed in Alexandria.

a = 6.0842 Å, b = 6.0842 Å, c = 6.0842 Å
α = 103.32°, β = 103.32°, γ = 122.63°
With the nearest neighbours (Å) after each atom.
Sites, in units of the cell vectors:
Y: 0.0000 0.0000 0.0000  2 Sn 2.92, 4 Os 2.95
Y: 0.7500 0.2500 0.5000  2 Sn 2.92, 4 Os 2.95
Sn: 0.2500 0.7500 0.5000  4 Os 2.60
Sn: 0.5000 0.5000 0.0000  4 Os 2.60
Os: 0.1588 0.6250 0.0338  2 Sn 2.60
Os: 0.3750 0.4088 0.5338  2 Sn 2.60
Os: 0.5912 0.1250 0.9662  2 Sn 2.60
Os: 0.8750 0.8412 0.4662  2 Sn 2.60

Results
SG: No. 122
E_form: 0.77 eV/atom

9.
First-principles (PBE) data for crystalline YSn2Os2 at its relaxed geometry, as listed in Alexandria.

a = 6.1617 Å, b = 6.1617 Å, c = 6.1617 Å
α = 136.61°, β = 136.61°, γ = 63.03°
With the nearest neighbours (Å) after each atom.
Sites, in units of the cell vectors:
Y: 0.0000 0.0000 0.0000  8 Os 3.43, 8 Sn 3.48
Sn: 0.2500 0.7500 0.5000  4 Os 2.70
Sn: 0.7500 0.2500 0.5000  4 Os 2.70
Os: 0.3885 0.3885 0.0000  1 Os 2.34
Os: 0.6115 0.6115 0.0000  1 Os 2.34

Results
SG: No. 139
E_form: -0.04 eV/atom

10.
First-principles (PBE) data for crystalline YZnSn2Os at its relaxed geometry, as listed in Alexandria.

a = 5.0133 Å, b = 5.0133 Å, c = 4.7458 Å
α = 90.00°, β = 90.00°, γ = 90.00°
With the nearest neighbours (Å) after each atom.
Sites, in units of the cell vectors:
Y: 0.0000 0.0000 0.0000  8 Sn 3.45, 4 Os 3.54
Zn: 0.5000 0.5000 0.5000  2 Os 2.37, 4 Sn 2.51
Sn: 0.0000 0.5000 0.5000  2 Zn 2.51
Sn: 0.5000 0.0000 0.5000  2 Zn 2.51
Os: 0.5000 0.5000 0.0000  2 Zn 2.37

Results
SG: No. 123
E_form: 0.59 eV/atom

11.
First-principles (PBE) data for crystalline Zn3SnOs at its relaxed geometry, as listed in Alexandria.

a = 4.8214 Å, b = 4.8214 Å, c = 4.8214 Å
α = 90.00°, β = 90.00°, γ = 90.00°
With the nearest neighbours (Å) after each atom.
Sites, in units of the cell vectors:
Zn: 0.0000 0.0000 0.5000  2 Os 2.41
Zn: 0.0000 0.5000 0.0000  2 Os 2.41
Zn: 0.5000 0.0000 0.0000  2 Os 2.41
Sn: 0.5000 0.5000 0.5000  12 Zn 3.41
Os: 0.0000 0.0000 0.0000  6 Zn 2.41

Results
SG: No. 221
E_form: 0.56 eV/atom

12.
First-principles (PBE) data for crystalline ZnSnOs3 at its relaxed geometry, as listed in Alexandria.

a = 4.5162 Å, b = 4.5162 Å, c = 4.5162 Å
α = 90.00°, β = 90.00°, γ = 90.00°
With the nearest neighbours (Å) after each atom.
Sites, in units of the cell vectors:
Zn: 0.0000 0.0000 0.0000  6 Os 2.26
Sn: 0.5000 0.5000 0.5000  12 Os 3.19
Os: 0.0000 0.0000 0.5000  2 Zn 2.26
Os: 0.0000 0.5000 0.0000  2 Zn 2.26
Os: 0.5000 0.0000 0.0000  2 Zn 2.26

Results
SG: No. 221
E_form: 1.84 eV/atom

13.
First-principles (PBE) data for crystalline ZnSnOs3 at its relaxed geometry, as listed in Alexandria.

a = 4.8420 Å, b = 4.8420 Å, c = 4.8420 Å
α = 90.00°, β = 90.00°, γ = 90.00°
With the nearest neighbours (Å) after each atom.
Sites, in units of the cell vectors:
Zn: 0.0000 0.0000 0.0000  12 Os 3.42
Sn: 0.5000 0.5000 0.5000  6 Os 2.42
Os: 0.0000 0.5000 0.5000  2 Sn 2.42
Os: 0.5000 0.0000 0.5000  2 Sn 2.42
Os: 0.5000 0.5000 0.0000  2 Sn 2.42

Results
SG: No. 221
E_form: 2.62 eV/atom

Total DFT energy (no corrections) across the listed records, respectively: -78.8, -68.7, -74.6, -37.8, -28.2, -87.6, -68.2, -59.7, -37.1, -24.0, -16.2, -29.7, -25.9 eV/cell.